The following is a PBE-GGA calculation of a relaxed structure of Tb2ZrCo, from Alexandria via LeMat-Bulk. Values from VASP.

```
&SYSTEM
  ibrav = 0, nat = 4, ntyp = 3
/
ATOMIC_SPECIES
Tb 158.93 Tb.upf
Zr 91.22 Zr.upf
Co 58.93 Co.upf
CELL_PARAMETERS angstrom
3.393 0.000 0.000
0.000 3.393 0.000
0.000 0.000 8.030
ATOMIC_POSITIONS angstrom
Tb 0.000 0.000 1.648
Tb 0.000 0.000 6.383
Zr 1.697 1.697 4.015
Co 1.697 1.697 0.000
```

* calculated formation energy: 0.03 eV/atom
* total magnetic moment: 0.81 Bohr magnetons per cell
* energy above the lowest structure with this stoichiometry: 0.0 meV/atom